No. 1
Density functional theory data (PBE) for Y2Zn15Hg2 after structural relaxation.

Results
V	16.92	A^3/atom
symmetry	R-3m, No. 166
ΔH_f (0 K)	-200	meV/atom

Lattice parameters (Å, degrees): 6.8975 6.8975 6.8975 83.06 83.06 83.06
With the nearest neighbours (Å) after each atom.
Fractional positions:
1 Y 0.1580 0.1580 0.1580  1 Hg 3.11, 12 Zn 3.17-3.39
2 Y 0.8420 0.8420 0.8420  1 Hg 3.11, 12 Zn 3.17-3.39
3 Zn 0.0000 0.5000 0.5000  8 Zn 2.63-2.71, 2 Hg 2.75
4 Zn 0.1456 0.1456 0.6703  8 Zn 2.53-2.79
5 Zn 0.1456 0.6703 0.1456  8 Zn 2.53-2.79
6 Zn 0.1952 0.5000 0.8048  8 Zn 2.63-2.79
7 Zn 0.1952 0.8048 0.5000  8 Zn 2.63-2.79
8 Zn 0.3297 0.8544 0.8544  8 Zn 2.53-2.79
9 Zn 0.5000 0.0000 0.5000  8 Zn 2.63-2.71, 2 Hg 2.75
10 Zn 0.5000 0.1952 0.8048  8 Zn 2.63-2.79
11 Zn 0.5000 0.5000 0.0000  8 Zn 2.63-2.71, 2 Hg 2.75
12 Zn 0.5000 0.8048 0.1952  8 Zn 2.63-2.79
13 Zn 0.6703 0.1456 0.1456  8 Zn 2.53-2.79
14 Zn 0.8048 0.1952 0.5000  8 Zn 2.63-2.79
15 Zn 0.8048 0.5000 0.1952  8 Zn 2.63-2.79
16 Zn 0.8544 0.3297 0.8544  8 Zn 2.53-2.79
17 Zn 0.8544 0.8544 0.3297  8 Zn 2.53-2.79
18 Hg 0.3913 0.3913 0.3913  6 Zn 2.75-2.93, 1 Hg 2.89
19 Hg 0.6087 0.6087 0.6087  6 Zn 2.75-2.93, 1 Hg 2.89



No. 2
Density functional theory data (PBE) for BeTc2Ir after structural relaxation.

Results
V	13.28	A^3/atom
symmetry	Pm, No. 6
ΔH_f (0 K)	-125	meV/atom

Lattice parameters (Å, degrees): 2.7227 3.9092 5.1688 90.00 105.09 90.00
With the nearest neighbours (Å) after each atom.
Fractional positions:
1 Be 0.0000 0.0000 0.0000  2 Ir 2.31, 1 Tc 2.42
2 Tc 0.3987 0.5000 0.7880  4 Be 2.60-2.61, 3 Ir 2.67-2.69, 6 Tc 2.72-2.75
3 Tc 0.7552 0.0000 0.5160  1 Be 2.42
4 Ir 0.1244 0.5000 0.2485  2 Be 2.31



No. 3
Density functional theory data (PBE) for NpPa2VN5 after structural relaxation.

Results
raw formation energy	-1.267	eV/atom
V	12.84	A^3/atom
symmetry	Cmc2_1, No. 36

Lattice parameters (Å, degrees): 6.9322 6.9322 10.2450 90.00 90.00 152.01
With the nearest neighbours (Å) after each atom.
Fractional positions:
1 Np 0.2080 0.7920 0.5000  6 N 2.23-2.33
2 Np 0.7920 0.2080 0.0000  6 N 2.23-2.33
3 Pa 0.1006 0.8994 0.1833  8 N 2.39-2.56
4 Pa 0.1477 0.8523 0.7972  5 N 2.37-2.60
5 Pa 0.8523 0.1477 0.2972  5 N 2.37-2.60
6 Pa 0.8994 0.1006 0.6833  8 N 2.39-2.56
7 V 0.4794 0.5206 0.9570  4 N 1.95-2.00
8 V 0.5206 0.4794 0.4570  4 N 1.95-2.00
9 N 0.0476 0.9524 0.5535  2 V 1.98
10 N 0.2773 0.7227 0.1567  2 Np 2.33, 3 Pa 2.39-2.43
11 N 0.3365 0.6635 0.8534  1 V 2.20, 2 Np 2.33
12 N 0.3764 0.6236 0.5056  1 V 2.00
13 N 0.4760 0.5240 0.2759  1 V 1.95
14 N 0.5240 0.4760 0.7759  1 V 1.95
15 N 0.6236 0.3764 0.0056  1 V 2.00
16 N 0.6635 0.3365 0.3534  1 V 2.20, 2 Np 2.33
17 N 0.7227 0.2773 0.6567  2 Np 2.33, 3 Pa 2.39-2.43
18 N 0.9524 0.0476 0.0535  2 V 1.98



No. 4
Density functional theory data (PBE) for Cd4GeSe3S3 after structural relaxation.

Results
raw formation energy	-0.538	eV/atom
V	26.39	A^3/atom
symmetry	Cc, No. 9

Lattice parameters (Å, degrees): 7.4705 7.4705 12.8761 107.13 107.13 59.17
With the nearest neighbours (Å) after each atom.
Fractional positions:
1 Cd 0.0721 0.9279 0.5000  2 S 2.59-2.61, 2 Se 2.68-2.71
2 Cd 0.0869 0.2903 0.8071  1 S 2.58, 3 Se 2.68-2.74
3 Cd 0.1727 0.5696 0.1631  2 S 2.59-2.69, 2 Se 2.68-2.71
4 Cd 0.2903 0.0869 0.3071  1 S 2.58, 3 Se 2.68-2.74
5 Cd 0.5605 0.7728 0.9954  1 S 2.65, 3 Se 2.67-2.71
6 Cd 0.5696 0.1727 0.6631  2 S 2.59-2.69, 2 Se 2.68-2.71
7 Cd 0.7728 0.5605 0.4954  1 S 2.65, 3 Se 2.67-2.71
8 Cd 0.9279 0.0721 0.0000  2 S 2.59-2.61, 2 Se 2.68-2.71
9 Ge 0.1612 0.7079 0.7425  3 S 2.22-2.24, 1 Se 2.37
10 Ge 0.7079 0.1612 0.2425  3 S 2.22-2.24, 1 Se 2.37
11 Se 0.2916 0.8196 0.1154  4 Cd 2.68-2.71
12 Se 0.3813 0.8721 0.7914  1 Ge 2.37
13 Se 0.4279 0.9365 0.4957  4 Cd 2.67-2.71
14 Se 0.8196 0.2916 0.6154  4 Cd 2.68-2.71
15 Se 0.8721 0.3813 0.2914  1 Ge 2.37
16 Se 0.9365 0.4279 0.9957  4 Cd 2.67-2.71
17 S 0.1234 0.6002 0.5599  1 Ge 2.23
18 S 0.3576 0.4169 0.8204  1 Ge 2.24
19 S 0.4169 0.3576 0.3204  1 Ge 2.24
20 S 0.6002 0.1234 0.0599  1 Ge 2.23
21 S 0.8493 0.8928 0.7974  1 Ge 2.22
22 S 0.8928 0.8493 0.2974  1 Ge 2.22



No. 5
Density functional theory data (PBE) for MoP2Os after structural relaxation.

Results
V	13.17	A^3/atom
symmetry	P4/mmm, No. 123
ΔH_f (0 K)	-202	meV/atom

Lattice parameters (Å, degrees): 4.2077 4.2077 2.9763 90.00 90.00 90.00
With the nearest neighbours (Å) after each atom.
Fractional positions:
1 Mo 0.0000 0.0000 0.0000  8 P 2.58
2 P 0.0000 0.5000 0.5000  4 Mo 2.58, 4 Os 2.58
3 P 0.5000 0.0000 0.5000  4 Mo 2.58, 4 Os 2.58
4 Os 0.5000 0.5000 0.0000  8 P 2.58



No. 6
Density functional theory data (PBE) for Nd3HgAu5 after structural relaxation.

Results
V	23.91	A^3/atom
symmetry	P6_3/mcm, No. 193
ΔH_f (0 K)	-705	meV/atom

Lattice parameters (Å, degrees): 8.9158 8.9158 6.2515 90.00 90.00 120.00
With the nearest neighbours (Å) after each atom.
Fractional positions:
1 Nd 0.0000 0.3473 0.2500  9 Au 2.95-3.30
2 Nd 0.0000 0.6527 0.7500  9 Au 2.95-3.30
3 Nd 0.3473 0.0000 0.2500  9 Au 2.95-3.30
4 Nd 0.3473 0.3473 0.7500  9 Au 2.95-3.30
5 Nd 0.6527 0.0000 0.7500  9 Au 2.95-3.30
6 Nd 0.6527 0.6527 0.2500  9 Au 2.95-3.30
7 Hg 0.0000 0.0000 0.0000  2 Hg 3.13, 6 Au 3.27, 6 Nd 3.47
8 Hg 0.0000 0.0000 0.5000  2 Hg 3.13, 6 Au 3.27, 6 Nd 3.47
9 Au 0.0000 0.3217 0.7500  5 Nd 2.95-3.13, 2 Hg 3.27
10 Au 0.0000 0.6783 0.2500  5 Nd 2.95-3.13, 2 Hg 3.27
11 Au 0.3217 0.0000 0.7500  5 Nd 2.95-3.13, 2 Hg 3.27
12 Au 0.3217 0.3217 0.2500  5 Nd 2.95-3.13, 2 Hg 3.27
13 Au 0.3333 0.6667 0.0000  8 Au 3.13-3.41, 6 Nd 3.30
14 Au 0.3333 0.6667 0.5000  8 Au 3.13-3.41, 6 Nd 3.30
15 Au 0.6667 0.3333 0.0000  8 Au 3.13-3.41, 6 Nd 3.30
16 Au 0.6667 0.3333 0.5000  8 Au 3.13-3.41, 6 Nd 3.30
17 Au 0.6783 0.0000 0.2500  5 Nd 2.95-3.13, 2 Hg 3.27
18 Au 0.6783 0.6783 0.7500  5 Nd 2.95-3.13, 2 Hg 3.27



No. 7
Density functional theory data (PBE) for Rb2WSCl6 after structural relaxation.

Results
raw formation energy	-0.899	eV/atom
V	31.00	A^3/atom
symmetry	I4/mmm, No. 139

Lattice parameters (Å, degrees): 7.4005 7.4005 7.4005 112.18 112.18 104.18
With the nearest neighbours (Å) after each atom.
Fractional positions:
1 Rb 0.2500 0.7500 0.5000  12 Cl 3.73-4.13
2 Rb 0.7500 0.2500 0.5000  12 Cl 3.73-4.13
3 W 0.0000 0.0000 0.0000  6 Cl 2.32-2.43
4 S 0.5000 0.5000 0.0000  2 Cl 2.23
5 Cl 0.2078 0.2078 0.4156  1 W 2.43
6 Cl 0.2078 0.7922 0.0000  1 W 2.43
7 Cl 0.2548 0.2548 0.0000  1 S 2.23, 1 W 2.32
8 Cl 0.7452 0.7452 0.0000  1 S 2.23, 1 W 2.32
9 Cl 0.7922 0.2078 0.0000  1 W 2.43
10 Cl 0.7922 0.7922 0.5844  1 W 2.43



No. 8
Density functional theory data (PBE) for ZrNb2Ge after structural relaxation.

Results
V	20.24	A^3/atom
symmetry	I-42d, No. 122
ΔH_f (0 K)	202	meV/atom

Lattice parameters (Å, degrees): 6.1201 6.1201 6.1201 100.97 100.97 128.27
With the nearest neighbours (Å) after each atom.
Fractional positions:
1 Zr 0.0000 0.0000 0.0000  2 Ge 2.67
2 Zr 0.7500 0.2500 0.5000  2 Ge 2.67
3 Nb 0.1702 0.6250 0.0452  2 Ge 2.60, 2 Nb 2.76
4 Nb 0.3750 0.4202 0.5452  2 Ge 2.60, 2 Nb 2.76
5 Nb 0.5798 0.1250 0.9548  2 Ge 2.60, 2 Nb 2.76
6 Nb 0.8750 0.8298 0.4548  2 Ge 2.60, 2 Nb 2.76
7 Ge 0.2500 0.7500 0.5000  4 Nb 2.60, 2 Zr 2.67
8 Ge 0.5000 0.5000 0.0000  4 Nb 2.60, 2 Zr 2.67



No. 9
Density functional theory data (PBE) for ReP3Ru after structural relaxation.

Results
V	18.33	A^3/atom
symmetry	Pm-3m, No. 221
ΔH_f (0 K)	1331	meV/atom

Lattice parameters (Å, degrees): 4.5090 4.5090 4.5090 90.00 90.00 90.00
With the nearest neighbours (Å) after each atom.
Fractional positions:
1 Re 0.0000 0.0000 0.0000  12 P 3.19
2 P 0.0000 0.5000 0.5000  2 Ru 2.25
3 P 0.5000 0.0000 0.5000  2 Ru 2.25
4 P 0.5000 0.5000 0.0000  2 Ru 2.25
5 Ru 0.5000 0.5000 0.5000  6 P 2.25



No. 10
Density functional theory data (PBE) for Li2InBr after structural relaxation.

Results
raw formation energy	-0.300	eV/atom
V	23.52	A^3/atom
symmetry	Fm-3m, No. 225

Lattice parameters (Å, degrees): 5.1048 5.1048 5.1048 60.00 60.00 60.00
With the nearest neighbours (Å) after each atom.
Fractional positions:
1 Li 0.2500 0.2500 0.2500  4 In 3.13, 4 Br 3.13
2 Li 0.7500 0.7500 0.7500  4 Br 3.13, 4 In 3.13
3 In 0.0000 0.0000 0.0000  8 Li 3.13
4 Br 0.5000 0.5000 0.5000  8 Li 3.13



No. 11
Density functional theory data (PBE) for ErAlPd after structural relaxation.

Results
V	19.41	A^3/atom
symmetry	I4mm, No. 107
ΔH_f (0 K)	-701	meV/atom

Lattice parameters (Å, degrees): 5.8803 5.8803 5.8803 147.58 147.58 46.50
With the nearest neighbours (Å) after each atom.
Fractional positions:
1 Er 0.0000 0.0000 0.0000  5 Pd 3.06-3.41, 5 Al 3.17-3.24, 4 Er 3.28
2 Al 0.3000 0.3000 0.0000  4 Pd 2.64
3 Pd 0.6842 0.6842 0.0000  4 Al 2.64



No. 12
Density functional theory data (PBE) for MnPbBr after structural relaxation.

Results
raw formation energy	0.011	eV/atom
V	27.04	A^3/atom
symmetry	I4mm, No. 107

Lattice parameters (Å, degrees): 7.5782 7.5782 7.5782 154.40 154.40 36.51
With the nearest neighbours (Å) after each atom.
Fractional positions:
1 Mn 0.0000 0.0000 0.0000  4 Br 2.80
2 Pb 0.3514 0.3514 0.0000  4 Mn 3.20, 4 Pb 3.36
3 Br 0.6028 0.6028 0.0000  4 Mn 2.80



No. 13
Density functional theory data (PBE) for HoNi6C after structural relaxation.

Results
V	12.61	A^3/atom
symmetry	R-3m, No. 166
ΔH_f (0 K)	-106	meV/atom

Lattice parameters (Å, degrees): 5.3016 5.3016 5.3016 58.15 58.15 58.15
With the nearest neighbours (Å) after each atom.
Fractional positions:
1 Ho 0.0000 0.0000 0.0000  12 Ni 2.84
2 Ni 0.0719 0.5990 0.5990  1 C 1.87
3 Ni 0.4010 0.4010 0.9281  1 C 1.87
4 Ni 0.4010 0.9281 0.4010  1 C 1.87
5 Ni 0.5990 0.0719 0.5990  1 C 1.87
6 Ni 0.5990 0.5990 0.0719  1 C 1.87
7 Ni 0.9281 0.4010 0.4010  1 C 1.87
8 C 0.5000 0.5000 0.5000  6 Ni 1.87



No. 14
Density functional theory data (PBE) for AlNiHg2 after structural relaxation.

Results
V	18.46	A^3/atom
symmetry	Pmm2, No. 25
ΔH_f (0 K)	-3	meV/atom

Lattice parameters (Å, degrees): 2.9071 3.0886 8.2255 90.00 90.00 90.00
With the nearest neighbours (Å) after each atom.
Fractional positions:
1 Al 0.0000 0.0000 0.0000  4 Ni 2.44
2 Ni 0.5000 0.5000 0.1470  4 Al 2.44
3 Hg 0.0000 0.0000 0.3807  4 Ni 2.86, 4 Hg 2.91-3.09, 1 Al 3.13
4 Hg 0.5000 0.5000 0.7142  4 Hg 2.91-3.09, 4 Al 3.17



No. 15
Density functional theory data (PBE) for PrSm2ErS6 after structural relaxation.

Results
raw formation energy	-2.026	eV/atom
V	27.09	A^3/atom
symmetry	R3, No. 146

Lattice parameters (Å, degrees): 7.4664 7.4664 7.4664 56.55 56.55 56.55
With the nearest neighbours (Å) after each atom.
Fractional positions:
1 Pr 0.0000 0.0000 0.0000  6 S 2.81-2.93
2 Sm 0.2900 0.2900 0.2900  6 S 2.79-2.86
3 Sm 0.7941 0.7941 0.7941  6 S 2.77-2.86
4 Er 0.4939 0.4939 0.4939  6 S 2.72-2.76
5 S 0.1012 0.6830 0.4031  1 Er 2.76, 2 Sm 2.77-2.86, 1 Pr 2.81
6 S 0.2045 0.5960 0.8824  1 Er 2.72, 2 Sm 2.79-2.86, 1 Pr 2.93
7 S 0.4031 0.1012 0.6830  1 Er 2.76, 2 Sm 2.77-2.86, 1 Pr 2.81
8 S 0.5960 0.8824 0.2045  1 Er 2.72, 2 Sm 2.79-2.86, 1 Pr 2.93
9 S 0.6830 0.4031 0.1012  1 Er 2.76, 2 Sm 2.77-2.86, 1 Pr 2.81
10 S 0.8824 0.2045 0.5960  1 Er 2.72, 2 Sm 2.79-2.86, 1 Pr 2.93



No. 16
Density functional theory data (PBE) for Li2PmY2Tl2 after structural relaxation.

Results
V	26.46	A^3/atom
symmetry	R-3m, No. 166
ΔH_f (0 K)	-200	meV/atom

Lattice parameters (Å, degrees): 9.4832 9.4832 9.4832 29.69 29.69 29.69
With the nearest neighbours (Å) after each atom.
Fractional positions:
1 Li 0.0983 0.0983 0.0983  3 Tl 2.81
2 Li 0.9017 0.9017 0.9017  3 Tl 2.81
3 Pm 0.5000 0.5000 0.5000  6 Li 3.37, 6 Tl 3.44, 2 Y 3.47
4 Y 0.3724 0.3724 0.3724  3 Tl 3.17, 3 Li 3.23, 1 Pm 3.47, 3 Y 3.52
5 Y 0.6276 0.6276 0.6276  3 Tl 3.17, 3 Li 3.23, 1 Pm 3.47, 3 Y 3.52
6 Tl 0.2398 0.2398 0.2398  3 Li 2.81
7 Tl 0.7602 0.7602 0.7602  3 Li 2.81



No. 17
Density functional theory data (PBE) for CdHgSe2 after structural relaxation.

Results
raw formation energy	-0.143	eV/atom
V	28.94	A^3/atom
symmetry	P2/m, No. 10

Lattice parameters (Å, degrees): 5.2691 4.1136 5.9360 90.00 115.87 90.00
With the nearest neighbours (Å) after each atom.
Fractional positions:
1 Cd 0.0000 0.0000 0.0000  4 Se 2.82, 2 Hg 2.99
2 Hg 0.5000 0.0000 0.5000  2 Cd 2.99
3 Se 0.2584 0.5000 0.8486  1 Se 2.39
4 Se 0.7416 0.5000 0.1514  1 Se 2.39



No. 18
Density functional theory data (PBE) for Tm4Hg2Te5 after structural relaxation.

Results
raw formation energy	-0.795	eV/atom
V	37.81	A^3/atom
symmetry	C2/m, No. 12

Lattice parameters (Å, degrees): 12.1820 12.1820 8.8022 111.16 111.16 20.01
With the nearest neighbours (Å) after each atom.
Fractional positions:
1 Tm 0.0001 0.0001 0.2428  4 Te 2.95-3.01
2 Tm 0.9999 0.9999 0.7572  4 Te 2.95-3.01
3 Tm 0.3749 0.3749 0.3751  4 Te 2.99, 1 Hg 3.02
4 Tm 0.6251 0.6251 0.6249  4 Te 2.99, 1 Hg 3.02
5 Hg 0.2396 0.2396 0.2383  1 Tm 3.02, 2 Te 3.32-3.33
6 Hg 0.7604 0.7604 0.7617  1 Tm 3.02, 2 Te 3.32-3.33
7 Te 0.1321 0.1321 0.3926  3 Tm 2.95-2.99
8 Te 0.1318 0.1318 0.8710  3 Tm 2.95-2.99
9 Te 0.5000 0.5000 0.0000  4 Tm 3.01
10 Te 0.8682 0.8682 0.1290  3 Tm 2.95-2.99
11 Te 0.8679 0.8679 0.6074  3 Tm 2.95-2.99



No. 19
Density functional theory data (PBE) for BiBrN2F after structural relaxation.

Results
raw formation energy	1.277	eV/atom
V	14.92	A^3/atom
symmetry	P4/mmm, No. 123

Lattice parameters (Å, degrees): 4.2191 4.2191 4.1913 90.00 90.00 90.00
With the nearest neighbours (Å) after each atom.
Fractional positions:
1 Bi 0.0000 0.0000 0.0000  8 N 2.97, 4 F 2.98
2 Br 0.5000 0.5000 0.5000  2 F 2.10, 4 N 2.11
3 N 0.0000 0.5000 0.5000  2 Br 2.11
4 N 0.5000 0.0000 0.5000  2 Br 2.11
5 F 0.5000 0.5000 0.0000  2 Br 2.10



No. 20
Density functional theory data (PBE) for NpSCl3 after structural relaxation.

Results
raw formation energy	-1.368	eV/atom
V	36.67	A^3/atom
symmetry	P2/c, No. 13

Lattice parameters (Å, degrees): 7.2788 7.1491 14.1195 90.00 93.34 90.00
With the nearest neighbours (Å) after each atom.
Fractional positions:
1 Np 0.0853 0.0927 0.1353  4 Cl 2.50-2.72, 2 S 2.77
2 Np 0.0853 0.9073 0.6353  4 Cl 2.50-2.72, 2 S 2.77
3 Np 0.9147 0.0927 0.3647  4 Cl 2.50-2.72, 2 S 2.77
4 Np 0.9147 0.9073 0.8647  4 Cl 2.50-2.72, 2 S 2.77
5 S 0.1310 0.3557 0.2792  1 S 2.03
6 S 0.1310 0.6443 0.7792  1 S 2.03
7 S 0.8690 0.3557 0.2208  1 S 2.03
8 S 0.8690 0.6443 0.7208  1 S 2.03
9 Cl 0.1036 0.2166 0.5241  2 Np 2.72
10 Cl 0.1036 0.7834 0.0241  2 Np 2.72
11 Cl 0.2171 0.0896 0.7917  2 Np 2.69-2.81
12 Cl 0.2171 0.9104 0.2917  2 Np 2.69-2.81
13 Cl 0.3814 0.2155 0.0785  1 Np 2.50
14 Cl 0.3814 0.7845 0.5785  1 Np 2.50
15 Cl 0.6186 0.2155 0.4215  1 Np 2.50
16 Cl 0.6186 0.7845 0.9215  1 Np 2.50
17 Cl 0.7829 0.0896 0.7083  2 Np 2.69-2.81
18 Cl 0.7829 0.9104 0.2083  2 Np 2.69-2.81
19 Cl 0.8964 0.2166 0.9759  2 Np 2.72
20 Cl 0.8964 0.7834 0.4759  2 Np 2.72